Entry 1:
Entry from the Alexandria database: crystalline RbAlAsBr2 at its relaxed geometry (PBE).

Values from the calculation:
energy relative to the elements, uncorrected = -3.14 eV/f.u.
distance to the lowest polymorph of the same formula = 0.0 meV per atom
crystal system = tetragonal

a = 5.5333 Å, b = 5.5333 Å, c = 4.8964 Å
α = 90.00°, β = 90.00°, γ = 90.00°
Closest atoms and distances in Å follow each position.
Fractional positions:
As: 0.0000 0.0000 0.5000  2 Al 2.45
Br: 0.0000 0.5000 0.0000  2 Al 2.77
Br: 0.5000 0.0000 0.0000  2 Al 2.77
Rb: 0.5000 0.5000 0.5000  8 Br 3.69, 4 As 3.91
Al: 0.0000 0.0000 0.0000  2 As 2.45

Entry 2:
Entry from the Alexandria database: crystalline TePb2Cl2 at its relaxed geometry (PBE).

Values from the calculation:
energy relative to the elements, uncorrected = -4.06 eV/f.u.
distance to the lowest polymorph of the same formula = 14.7 meV per atom
crystal system = monoclinic

a = 7.7665 Å, b = 8.8676 Å, c = 10.8785 Å
α = 90.00°, β = 82.16°, γ = 90.00°
Closest atoms and distances in Å follow each position.
Fractional positions:
Te: 0.4641 0.3860 0.3169  5 Pb 3.13-3.39
Te: 0.5359 0.6140 0.6831  5 Pb 3.13-3.39
Te: 0.9641 0.1140 0.3169  5 Pb 3.13-3.39
Te: 0.0359 0.8860 0.6831  5 Pb 3.13-3.39
Pb: 0.6350 0.1231 0.1514  2 Cl 2.81-2.91, 1 Te 3.13
Pb: 0.1350 0.3769 0.1514  2 Cl 2.81-2.91, 1 Te 3.13
Pb: 0.8650 0.6231 0.8486  2 Cl 2.81-2.91, 1 Te 3.13
Pb: 0.3650 0.8769 0.8486  2 Cl 2.81-2.91, 1 Te 3.13
Pb: 0.7499 0.3517 0.4940  3 Cl 2.90-3.14, 2 Te 3.15-3.17
Pb: 0.2499 0.1483 0.4940  3 Cl 2.90-3.14, 2 Te 3.15-3.17
Pb: 0.7501 0.8517 0.5060  3 Cl 2.90-3.14, 2 Te 3.15-3.17
Pb: 0.2501 0.6483 0.5060  3 Cl 2.90-3.14, 2 Te 3.15-3.17
Cl: 0.3558 0.1781 0.0037  2 Pb 2.81-2.91
Cl: 0.8558 0.3219 0.0037  2 Pb 2.81-2.91
Cl: 0.1442 0.6781 0.9963  2 Pb 2.81-2.91
Cl: 0.6442 0.8219 0.9963  2 Pb 2.81-2.91
Cl: 0.9371 0.5946 0.3559  4 Pb 2.90-3.18
Cl: 0.4371 0.9054 0.3559  4 Pb 2.90-3.18
Cl: 0.5629 0.0946 0.6441  4 Pb 2.90-3.18
Cl: 0.0629 0.4054 0.6441  4 Pb 2.90-3.18

Entry 3:
Entry from the Alexandria database: crystalline TePd2Se2 at its relaxed geometry (PBE).

Values from the calculation:
energy relative to the elements, uncorrected = -0.54 eV/f.u.
distance to the lowest polymorph of the same formula = 126.8 meV per atom
crystal system = monoclinic

a = 6.4238 Å, b = 6.4238 Å, c = 5.7790 Å
α = 103.62°, β = 103.62°, γ = 100.81°
Closest atoms and distances in Å follow each position.
Fractional positions:
Te: 0.1209 0.8791 0.2500  4 Pd 2.69-2.95
Te: 0.8791 0.1209 0.7500  4 Pd 2.69-2.95
Pd: 0.3928 0.6072 0.2500  4 Se 2.49-2.66, 1 Te 2.69
Pd: 0.8232 0.1768 0.2500  4 Se 2.61-2.62
Pd: 0.1768 0.8232 0.7500  4 Se 2.61-2.62
Pd: 0.6072 0.3928 0.7500  4 Se 2.49-2.66, 1 Te 2.69
Se: 0.7870 0.5654 0.4785  4 Pd 2.49-2.66
Se: 0.4346 0.2130 0.0215  4 Pd 2.49-2.66
Se: 0.5654 0.7870 0.9785  4 Pd 2.49-2.66
Se: 0.2130 0.4346 0.5215  4 Pd 2.49-2.66

Entry 4:
Entry from the Alexandria database: crystalline Pm2NdTm7 at its relaxed geometry (PBE).

Values from the calculation:
E_form = 0.699 eV per atom
distance to the lowest polymorph of the same formula = 676.2 meV per atom
crystal system = orthorhombic

a = 5.0632 Å, b = 9.7502 Å, c = 9.7502 Å
α = 128.00°, β = 90.00°, γ = 90.00°
Closest atoms and distances in Å follow each position.
Fractional positions:
Pm: 0.5000 0.7010 0.2990  4 Tm 3.12-3.19
Pm: 0.5000 0.2990 0.7010  4 Tm 3.12-3.19
Nd: 0.0000 0.0000 0.0000  10 Tm 3.42-3.51
Tm: 0.0000 0.8050 0.1950  2 Pm 3.12, 4 Tm 3.34, 1 Nd 3.42
Tm: 0.0000 0.1950 0.8050  2 Pm 3.12, 4 Tm 3.34, 1 Nd 3.42
Tm: 0.5000 0.0733 0.2880  4 Tm 3.09-3.34, 1 Pm 3.19
Tm: 0.5000 0.9267 0.7120  4 Tm 3.09-3.34, 1 Pm 3.19
Tm: 0.5000 0.2880 0.0733  4 Tm 3.09-3.34, 1 Pm 3.19
Tm: 0.5000 0.7120 0.9267  4 Tm 3.09-3.34, 1 Pm 3.19
Tm: 0.5000 0.5000 0.5000  4 Tm 3.32, 2 Pm 3.52

Entry 5:
Entry from the Alexandria database: crystalline NaLi2PrI6 at its relaxed geometry (PBE).

Values from the calculation:
energy relative to the elements, uncorrected = -12.72 eV/f.u.
crystal system = trigonal

a = 7.7822 Å, b = 7.7813 Å, c = 8.4172 Å
α = 62.48°, β = 62.47°, γ = 59.99°
Closest atoms and distances in Å follow each position.
Fractional positions:
Na: 0.8155 0.8156 0.5530  6 I 3.19-3.30
Li: 0.5089 0.5088 0.4738  6 I 3.03-3.11
Li: 0.0077 0.0078 0.9767  6 I 2.99-3.13
Pr: 0.3224 0.3224 0.0328  6 I 3.14-3.17
I: 0.6085 0.2446 0.2461  2 Li 3.03-3.13, 1 Pr 3.14, 1 Na 3.30
I: 0.2446 0.9008 0.2461  2 Li 3.03-3.13, 1 Pr 3.14, 1 Na 3.30
I: 0.9009 0.6086 0.2459  2 Li 3.03-3.13, 1 Pr 3.14, 1 Na 3.30
I: 0.3850 0.7450 0.7470  2 Li 2.99-3.11, 1 Pr 3.17, 1 Na 3.19
I: 0.7450 0.1231 0.7469  2 Li 2.99-3.11, 1 Pr 3.17, 1 Na 3.19
I: 0.1231 0.3850 0.7469  2 Li 2.99-3.11, 1 Pr 3.17, 1 Na 3.19

Entry 6:
Entry from the Alexandria database: crystalline RbSc2P at its relaxed geometry (PBE).

Values from the calculation:
E_form = -0.409 eV per atom
crystal system = trigonal

a = 10.6549 Å, b = 10.6549 Å, c = 10.6549 Å
α = 20.19°, β = 20.19°, γ = 20.19°
Closest atoms and distances in Å follow each position.
Fractional positions:
Sc: 0.8781 0.8781 0.8781  3 P 2.57
Sc: 0.1219 0.1219 0.1219  3 P 2.57
P: 0.5000 0.5000 0.5000  6 Sc 2.57
Rb: 0.0000 0.0000 0.0000  6 Rb 3.74, 2 Sc 3.82

Entry 7:
Entry from the Alexandria database: crystalline LiTbNiPt at its relaxed geometry (PBE).

Values from the calculation:
E_form = -0.535 eV per atom
crystal system = cubic

a = 4.6128 Å, b = 4.6128 Å, c = 4.6128 Å
α = 60.00°, β = 60.00°, γ = 60.00°
Closest atoms and distances in Å follow each position.
Fractional positions:
Ni: 0.7500 0.7500 0.7500  4 Tb 2.82, 4 Li 2.82
Tb: 0.0000 0.0000 0.0000  4 Ni 2.82, 4 Pt 2.82
Pt: 0.2500 0.2500 0.2500  4 Tb 2.82, 4 Li 2.82
Li: 0.5000 0.5000 0.5000  4 Pt 2.82, 4 Ni 2.82

Entry 8:
Entry from the Alexandria database: crystalline Pm7Sn4N at its relaxed geometry (PBE).

Values from the calculation:
energy relative to the elements, uncorrected = -7.36 eV/f.u.
crystal system = monoclinic

a = 5.1430 Å, b = 9.3842 Å, c = 8.6743 Å
α = 77.28°, β = 72.76°, γ = 74.10°
Closest atoms and distances in Å follow each position.
Fractional positions:
Pm: 0.7823 0.8603 0.5751  4 Sn 3.07-3.29
Pm: 0.2177 0.1397 0.4249  4 Sn 3.07-3.29
Pm: 0.0638 0.7576 0.1149  1 N 2.25
Pm: 0.9362 0.2424 0.8851  1 N 2.25
Pm: 0.3632 0.5432 0.7304  5 Sn 3.18-3.37
Pm: 0.5000 0.0000 0.0000  2 N 2.57
Pm: 0.6368 0.4568 0.2696  5 Sn 3.18-3.37
Sn: 0.5808 0.2162 0.6222  8 Pm 3.18-3.43
Sn: 0.4192 0.7838 0.3778  8 Pm 3.18-3.43
Sn: 0.7214 0.6527 0.9045  7 Pm 3.07-3.35
Sn: 0.2786 0.3473 0.0955  7 Pm 3.07-3.35
N: 0.0000 0.0000 0.0000  2 Pm 2.25

| no. | density of states at the Fermi level (states/eV/f.u.) | size of the total moment (μB/cell) |
| --- | --- | --- |
| 1 | 2.44 | 1.1 |
| 2 | 0.00 | 0.0 |
| 3 | 3.80 | 0.0 |
| 4 | 13.86 | 0.0 |
| 5 | 0.00 | 0.0 |
| 6 | 6.66 | 0.0 |
| 7 | 1.05 | 0.0 |
| 8 | 7.46 | 0.0 |